The following is a DFT calculation (PBE+U) of a relaxed structure of BaNa2NiO4.

## Properties
For the density of states at the Fermi level, the calculation gives 3.8 states/eV per cell. The total energy is -0.3442 Ry/atom.

Unit cell a=5.4835 b=5.4835 c=5.4835 alpha=98.11 beta=115.44 gamma=115.44
Closest atoms and distances in Å follow each position.
Atoms (fractional coordinates):
Ba 0.5000 0.2500 0.7500  8 O 2.75
Na 0.5000 0.7500 0.2500  8 O 2.75-2.76
Na 0.0000 0.0000 0.0000  4 O 2.32
Ni 0.0000 0.5000 0.5000  4 O 1.82
O 0.5602 0.2807 0.2801  1 Ni 1.82
O 0.9995 0.2796 0.7193  1 Ni 1.82
O 0.0005 0.7199 0.2801  1 Ni 1.82
O 0.4398 0.7199 0.7204  1 Ni 1.82